No. 1
Compound: Sr3In2Hg
Source: Alexandria
Functional: PBE
Structure: relaxed

Lattice parameters (Å, degrees): 4.053 4.053 12.168 90.00 90.00 90.00
Space group P4/mmm (No. 123)
Asymmetric unit:
1 Sr 0.000 0.000 0.000
2 Sr 0.000 0.000 0.336
3 In 0.500 0.500 0.165
4 Hg 0.500 0.500 0.500

Properties
ΔE_f ... -0.47 eV per atom
Total moment ... 0.000 μB per cell
Mass density ... 5.8 g/cm³

---

No. 2
Compound: EuHg2Se
Source: Alexandria
Functional: PBE
Structure: relaxed

Lattice parameters (Å, degrees): 4.2406 4.2406 28.1584 90.00 90.00 120.00
Space group R-3m (No. 166, hexagonal axes)
Asymmetric unit:
1 Eu 0.0000 0.0000 0.0000
2 Hg 0.0000 0.0000 0.1111
3 Se 0.0000 0.0000 0.5000

Properties
E ... -3.58 eV per atom
Total moment ... 22.022 μB per cell
Mass density ... 7.2 g/cm³

---

Copy entry 1 word for word.
Compound: Sr3In2Hg
Source: Alexandria
Functional: PBE
Structure: relaxed

Lattice parameters (Å, degrees): 4.053 4.053 12.168 90.00 90.00 90.00
Space group P4/mmm (No. 123)
Asymmetric unit:
1 Sr 0.000 0.000 0.000
2 Sr 0.000 0.000 0.336
3 In 0.500 0.500 0.165
4 Hg 0.500 0.500 0.500

Properties
ΔE_f ... -0.47 eV per atom
Total moment ... 0.000 μB per cell
Mass density ... 5.8 g/cm³

---

Question: Look up the mass density of the second one.
Answer: 7.2 g/cm³

---

Question: Among the records above, which one has the lowest mass density?
Answer: Sr3In2Hg

---

Question: Look up the mass density of the second one.
Answer: 7.2 g/cm³